(1)
This record from Alexandria via LeMat-Bulk describes FeRh2Se after structural relaxation. The functional is PBE-GGA.

Properties
As for the volume: 59.2 Å³/f.u. As for the total magnetization: 7.23 Bohr magnetons per cell. For the uncorrected formation energy, the calculation gives 0.8 eV per formula unit.

abc: 5.3874 8.6875 2.8864
angles: 90.00 118.76 90.00
Space group C2/m (No. 12)
Symmetry-distinct sites (fractional):
Fe: 0.0000 0.0000 0.0000 [2 per cell]
Rh: 0.2500 0.2500 0.5000 [4 per cell]
Se: 0.0000 0.5000 0.0000 [2 per cell]

(2)
This record from Alexandria via LeMat-Bulk describes K2ZrTl after structural relaxation. The functional is PBE-GGA.

Properties
As for the volume: 164.4 Å³/f.u. Its energy above the most stable polymorph in this dataset is 0.0 meV per atom. As for the total magnetization: 0.75 Bohr magnetons per cell. For the formation energy, the calculation gives 333.7 meV/atom.

abc: 3.4271 4.5924 10.4466
angles: 90.00 90.00 90.00
Space group Pmm2 (No. 25)
Symmetry-distinct sites (fractional):
K: 0.0000 0.0000 0.0000 [1 per cell]
K: 0.5000 0.5000 0.3787 [1 per cell]
Zr: 0.5000 0.5000 0.7228 [1 per cell]
Tl: 0.0000 0.0000 0.6329 [1 per cell]

(3)
This record from Alexandria via LeMat-Bulk describes Al2HF6 after structural relaxation. The functional is PBE-GGA.

Properties
As for the volume: 115.2 Å³/f.u. As for the total magnetization: 4.00 Bohr magnetons per cell. The raw total energy comes out at -189.21 eV/cell.

abc: 11.6513 8.5640 4.9706
angles: 90.00 111.76 90.00
Space group C2/c (No. 15)
Symmetry-distinct sites (fractional):
Al: 0.2501 0.0829 0.0003 [8 per cell]
H: 0.0000 0.2486 0.2500 [4 per cell]
F: 0.1583 0.0599 0.6111 [8 per cell]
F: 0.1580 0.2500 0.0378 [8 per cell]
F: 0.1581 0.4400 0.6105 [8 per cell]

(4)
This record from Alexandria via LeMat-Bulk describes ErP2Pt7Pb2 after structural relaxation. The functional is PBE-GGA.

Properties
As for the volume: 239.3 Å³/f.u. As for the total magnetization: 0.00 Bohr magnetons per cell. For the formation energy, the calculation gives -646.5 meV/atom.

abc: 5.6329 5.6295 15.3495
angles: 90.00 100.49 90.00
Space group C2/m (No. 12)
Symmetry-distinct sites (fractional):
Er: 0.0000 0.0000 0.0000 [2 per cell]
P: 0.1146 0.5000 0.2306 [4 per cell]
Pt: 0.0000 0.5000 0.0000 [2 per cell]
Pt: 0.1786 0.2501 0.8559 [8 per cell]
Pt: 0.1906 0.5000 0.3816 [4 per cell]
Pb: 0.2107 0.0000 0.4221 [4 per cell]

(5)
This record from Alexandria via LeMat-Bulk describes Ba3Tl5I12 after structural relaxation. The functional is PBE-GGA.

Properties
As for the volume: 1037.5 Å³/f.u. As for the total magnetization: 0.00 Bohr magnetons per cell. For the uncorrected formation energy, the calculation gives -20.9 eV per formula unit.

abc: 20.2472 20.2472 20.2472
angles: 90.00 90.00 90.00
Space group Ia-3d (No. 230)
Symmetry-distinct sites (fractional):
Ba: 0.0000 0.2500 0.1250 [24 per cell]
Tl: 0.0000 0.0000 0.0000 [16 per cell]
Tl: 0.0000 0.2500 0.3750 [24 per cell]
I: 0.0170 0.0715 0.6532 [96 per cell]

(6)
This record from Alexandria via LeMat-Bulk describes HfScP2S after structural relaxation. The functional is PBE-GGA.

Properties
As for the volume: 109.1 Å³/f.u. Its energy above the most stable polymorph in this dataset is 441.5 meV per atom. As for the total magnetization: 0.00 Bohr magnetons per cell. For the uncorrected formation energy, the calculation gives 0.6 eV per formula unit.

abc: 4.8162 4.8162 4.7054
angles: 90.00 90.00 90.00
Space group P4/mmm (No. 123)
Symmetry-distinct sites (fractional):
Hf: 0.0000 0.0000 0.0000 [1 per cell]
Sc: 0.5000 0.5000 0.5000 [1 per cell]
P: 0.0000 0.5000 0.5000 [2 per cell]
S: 0.5000 0.5000 0.0000 [1 per cell]

(7)
This record from Alexandria via LeMat-Bulk describes LaSeI after structural relaxation. The functional is PBE-GGA.

Properties
As for the volume: 104.4 Å³/f.u. As for the total magnetization: 0.00 Bohr magnetons per cell. For the uncorrected formation energy, the calculation gives -4.8 eV per formula unit.

abc: 7.4741 7.4741 7.4741
angles: 90.00 90.00 90.00
Space group F-43m (No. 216)
Symmetry-distinct sites (fractional):
La: 0.0000 0.0000 0.0000 [4 per cell]
Se: 0.2500 0.2500 0.7500 [4 per cell]
I: 0.2500 0.2500 0.2500 [4 per cell]

(8)
This record from Alexandria via LeMat-Bulk describes K12Cd6Hg after structural relaxation. The functional is PBE-GGA.

Properties
As for the volume: 907.6 Å³/f.u. As for the total magnetization: 0.00 Bohr magnetons per cell. For the formation energy, the calculation gives -35.1 meV/atom.

abc: 12.1988 12.1988 12.1988
angles: 90.00 90.00 90.00
Space group Im-3 (No. 204)
Symmetry-distinct sites (fractional):
K: 0.0000 0.2848 0.1857 [24 per cell]
Cd: 0.0000 0.1197 0.5000 [12 per cell]
Hg: 0.0000 0.0000 0.0000 [2 per cell]

(9)
This record from Alexandria via LeMat-Bulk describes LiNiCl after structural relaxation. The functional is PBE-GGA.

Properties
As for the volume: 48.7 Å³/f.u. Its energy above the most stable polymorph in this dataset is 193.9 meV per atom. As for the total magnetization: 3.53 Bohr magnetons per cell. For the uncorrected formation energy, the calculation gives -1.6 eV per formula unit.

abc: 6.1432 3.2237 9.8454
angles: 90.00 90.00 90.00
Space group Pnma (No. 62)
Symmetry-distinct sites (fractional):
Li: 0.2239 0.2500 0.1626 [4 per cell]
Ni: 0.0742 0.7500 0.4297 [4 per cell]
Cl: 0.0874 0.2500 0.8230 [4 per cell]

(10)
This record from Alexandria via LeMat-Bulk describes LaBiO4 after structural relaxation. The functional is PBE-GGA.

Properties
As for the volume: 95.2 Å³/f.u. As for the total magnetization: 0.00 Bohr magnetons per cell. For the uncorrected formation energy, the calculation gives -11.2 eV per formula unit.

abc: 7.5644 7.2894 7.7873
angles: 90.00 117.50 90.00
Space group P2_1/c (No. 14)
Symmetry-distinct sites (fractional):
La: 0.1447 0.1560 0.2845 [4 per cell]
Bi: 0.3263 0.6967 0.2243 [4 per cell]
O: 0.0647 0.6542 0.5795 [4 per cell]
O: 0.1555 0.0186 0.7298 [4 per cell]
O: 0.3298 0.6294 0.9578 [4 per cell]
O: 0.3699 0.1777 0.1276 [4 per cell]

(11)
This record from Alexandria via LeMat-Bulk describes Ba3Zn4Ag4 after structural relaxation. The functional is PBE-GGA.

Properties
As for the volume: 300.2 Å³/f.u. As for the total magnetization: 0.00 Bohr magnetons per cell. For the formation energy, the calculation gives -221.3 meV/atom.

abc: 4.6764 4.7511 27.0247
angles: 90.00 90.00 90.00
Space group Immm (No. 71)
Symmetry-distinct sites (fractional):
Ba: 0.0000 0.0000 0.0000 [2 per cell]
Ba: 0.0000 0.5000 0.1507 [4 per cell]
Zn: 0.0000 0.0000 0.4505 [4 per cell]
Zn: 0.0000 0.5000 0.2993 [4 per cell]
Ag: 0.0000 0.0000 0.2497 [4 per cell]
Ag: 0.0000 0.5000 0.4000 [4 per cell]

(12)
This record from Alexandria via LeMat-Bulk describes Ti4InBi2 after structural relaxation. The functional is PBE-GGA.

Properties
As for the volume: 145.2 Å³/f.u. As for the total magnetization: 0.00 Bohr magnetons per cell. For the formation energy, the calculation gives -59.6 meV/atom.

abc: 7.1180 7.1937 7.2916
angles: 108.79 109.50 109.24
Space group P1 (No. 1)
Symmetry-distinct sites (fractional):
Ti: 0.0000 0.0000 0.0000 [1 per cell]
Ti: 0.0706 0.8522 0.4714 [1 per cell]
Ti: 0.2224 0.6232 0.1231 [1 per cell]
Ti: 0.3523 0.4710 0.6354 [1 per cell]
Ti: 0.4773 0.3402 0.1148 [1 per cell]
Ti: 0.6389 0.1344 0.7860 [1 per cell]
Ti: 0.7157 0.9688 0.2590 [1 per cell]
Ti: 0.8557 0.4860 0.6316 [1 per cell]
In: 0.0568 0.2296 0.7453 [1 per cell]
In: 0.7650 0.6057 0.9965 [1 per cell]
Bi: 0.3139 0.8541 0.8683 [1 per cell]
Bi: 0.3980 0.1112 0.3805 [1 per cell]
Bi: 0.6450 0.7391 0.5138 [1 per cell]
Bi: 0.9475 0.3730 0.2610 [1 per cell]